Below is a relaxed KCdSn2Ru crystal, with properties calculated at the GGA-PBE level.

Geometry as extended XYZ:
```
5
Lattice="-2.894 -3.980 -1.498 1.744 -2.763 3.973 -4.067 1.812 3.044" Properties=species:S:1:pos:R:3 pbc="T T T"
Cd -2.034 0.906 1.522
K -2.609 -2.466 2.760
Sn 0.872 -1.381 1.987
Sn -1.447 -1.990 -0.749
Ru 0.000 0.000 0.000
```

volume: 142.7 Å³/cell
electronic total energy: -3.91 eV per atom
space group: P4/mmm, No. 123
Fermi-level density of states: 0.89 states/eV per atom
ΔE_f: -0.048 eV/atom
total moment: 0.11 μB/f.u.